This record from the Alexandria database describes crystalline Ta2ZnAg at its relaxed geometry. The functional is PBE.

The energy relative to the elements comes out at 228 meV per atom.

It has space group Immm (No. 71), with a = 3.488 Å, b = 4.243 Å, c = 9.210 Å, α = 90.00°, β = 90.00° and γ = 90.00°. Symmetry generates all atoms from Ta at (0.000, 0.000, 0.245), Zn at (0.000, 0.500, 0.500) and Ag at (0.000, 0.500, 0.000).

***

This record from the Alexandria database describes crystalline Ta2ZnAg at its relaxed geometry. The functional is PBE.

The energy relative to the elements comes out at 83 meV per atom.

It has space group P4mm (No. 99), with a = 2.817 Å, b = 2.817 Å, c = 8.622 Å, α = 90.00°, β = 90.00° and γ = 90.00°. Symmetry generates all atoms from Ta at (0.000, 0.000, 0.000), Ta at (0.500, 0.500, 0.267), Zn at (0.000, 0.000, 0.509) and Ag at (0.500, 0.500, 0.740).

***

This record from the Alexandria database describes crystalline Ta3ZnAg at its relaxed geometry. The functional is PBE.

The calculation puts the energy above the most stable polymorph in this dataset at 59.0 kJ per mole of atoms. The energy relative to the elements comes out at 2024 meV per atom.

It has space group Pm-3m (No. 221), with a = 4.890 Å, b = 4.890 Å, c = 4.890 Å, α = 90.00°, β = 90.00° and γ = 90.00°. Symmetry generates all atoms from Ta at (0.000, 0.000, 0.500), Zn at (0.500, 0.500, 0.500) and Ag at (0.000, 0.000, 0.000).